# 1
This record from Alexandria via LeMat-Bulk describes crystalline Li3BTe at its relaxed geometry. The functional is PBE.

Computed properties:
ρ: 1917 kg/m³
crystal system: cubic
space group: Pm-3m (221)
energy relative to the elements, uncorrected: 0.51 eV/atom

CIF file:
```
data_Li3BTe
_chemical_formula_sum 'Li3 B1 Te1'
_symmetry_space_group_name_H-M 'P 1'
_symmetry_Int_Tables_number 1
_symmetry_space_group_name_Hall 'P 1'
_cell_length_a 5.1667
_cell_length_b 5.1667
_cell_length_c 5.1667
_cell_angle_alpha 90.00
_cell_angle_beta 90.00
_cell_angle_gamma 90.00
loop_
_atom_site_label
_atom_site_fract_x
_atom_site_fract_y
_atom_site_fract_z
Te1 0.0000 0.0000 0.0000
Li1 0.0000 0.5000 0.0000
Li2 0.5000 0.0000 0.0000
Li3 0.0000 0.0000 0.5000
B1 0.5000 0.5000 0.5000
```

=====

# 2
This record from Alexandria via LeMat-Bulk describes crystalline Ca2Cd2Pd5Pt at its relaxed geometry. The functional is PBE.

Computed properties:
ρ: 8808 kg/m³
formation enthalpy at 0 K: -0.380 eV/atom
crystal system: tetragonal
space group: P4/mbm (127)

CIF file:
```
data_Ca2Cd2Pd5Pt
_chemical_formula_sum 'Ca4 Cd4 Pd10 Pt2'
_symmetry_space_group_name_H-M 'P 1'
_symmetry_Int_Tables_number 1
_symmetry_space_group_name_Hall 'P 1'
_cell_length_a 3.9151
_cell_length_b 9.9701
_cell_length_c 9.9701
_cell_angle_alpha 90.00
_cell_angle_beta 90.00
_cell_angle_gamma 90.00
loop_
_atom_site_label
_atom_site_fract_x
_atom_site_fract_y
_atom_site_fract_z
Pd1 0.5000 0.1948 0.0561
Pd2 0.5000 0.3052 0.5561
Pd3 0.5000 0.9439 0.1948
Pd4 0.5000 0.8052 0.9439
Pd5 0.5000 0.4439 0.3052
Pd6 0.5000 0.0561 0.8052
Pd7 0.5000 0.6948 0.4439
Pd8 0.5000 0.5561 0.6948
Pd9 0.5000 0.0000 0.5000
Pd10 0.5000 0.5000 0.0000
Cd1 0.0000 0.8723 0.3723
Cd2 0.0000 0.1277 0.6277
Cd3 0.0000 0.6277 0.8723
Cd4 0.0000 0.3723 0.1277
Ca1 0.0000 0.3260 0.8260
Ca2 0.0000 0.1740 0.3260
Ca3 0.0000 0.6740 0.1740
Ca4 0.0000 0.8260 0.6740
Pt1 0.0000 0.5000 0.5000
Pt2 0.0000 0.0000 0.0000
```

=====

# 3
This record from Alexandria via LeMat-Bulk describes crystalline La2ThSn at its relaxed geometry. The functional is PBE.

Computed properties:
ρ: 8234 kg/m³
formation enthalpy at 0 K: -0.173 eV/atom
crystal system: cubic
space group: Fm-3m (225)

CIF file:
```
data_La2ThSn
_chemical_formula_sum 'La2 Th1 Sn1'
_symmetry_space_group_name_H-M 'P 1'
_symmetry_Int_Tables_number 1
_symmetry_space_group_name_Hall 'P 1'
_cell_length_a 5.6386
_cell_length_b 5.6386
_cell_length_c 5.6386
_cell_angle_alpha 60.00
_cell_angle_beta 60.00
_cell_angle_gamma 60.00
loop_
_atom_site_label
_atom_site_fract_x
_atom_site_fract_y
_atom_site_fract_z
La1 0.7500 0.7500 0.7500
La2 0.2500 0.2500 0.2500
Th1 0.5000 0.5000 0.5000
Sn1 0.0000 0.0000 0.0000
```

=====

# 4
This record from Alexandria via LeMat-Bulk describes crystalline K2Rb2Cu at its relaxed geometry. The functional is PBE.

Computed properties:
ρ: 1583 kg/m³
formation enthalpy at 0 K: 0.300 eV/atom
crystal system: tetragonal
space group: P4/mbm (127)

CIF file:
```
data_K2Rb2Cu
_chemical_formula_sum 'K4 Rb4 Cu2'
_symmetry_space_group_name_H-M 'P 1'
_symmetry_Int_Tables_number 1
_symmetry_space_group_name_Hall 'P 1'
_cell_length_a 9.2050
_cell_length_b 9.2050
_cell_length_c 7.7399
_cell_angle_alpha 90.00
_cell_angle_beta 90.00
_cell_angle_gamma 90.00
loop_
_atom_site_label
_atom_site_fract_x
_atom_site_fract_y
_atom_site_fract_z
Rb1 0.3312 0.8312 0.0000
Rb2 0.1688 0.3312 0.0000
Rb3 0.6688 0.1688 0.0000
Rb4 0.8312 0.6688 0.0000
K1 0.6754 0.8246 0.5000
K2 0.8246 0.3246 0.5000
K3 0.3246 0.1754 0.5000
K4 0.1754 0.6754 0.5000
Cu1 0.0000 0.0000 0.0000
Cu2 0.5000 0.5000 0.0000
```

=====

# 5
This record from Alexandria via LeMat-Bulk describes crystalline Ba4HgMo at its relaxed geometry. The functional is PBE.

Computed properties:
ρ: 5300 kg/m³
formation enthalpy at 0 K: 0.974 eV/atom
crystal system: cubic
space group: F-43m (216)

CIF file:
```
data_Ba4HgMo
_chemical_formula_sum 'Ba4 Hg1 Mo1'
_symmetry_space_group_name_H-M 'P 1'
_symmetry_Int_Tables_number 1
_symmetry_space_group_name_Hall 'P 1'
_cell_length_a 7.2099
_cell_length_b 7.2099
_cell_length_c 7.2099
_cell_angle_alpha 60.00
_cell_angle_beta 60.00
_cell_angle_gamma 60.00
loop_
_atom_site_label
_atom_site_fract_x
_atom_site_fract_y
_atom_site_fract_z
Ba1 0.3750 0.3750 0.3750
Ba2 0.8750 0.3750 0.3750
Ba3 0.3750 0.3750 0.8750
Ba4 0.3750 0.8750 0.3750
Hg1 0.7500 0.7500 0.7500
Mo1 0.0000 0.0000 0.0000
```

=====

# 6
This record from Alexandria via LeMat-Bulk describes crystalline PmAl3Cu2 at its relaxed geometry. The functional is PBE.

Computed properties:
ρ: 5525 kg/m³
formation enthalpy at 0 K: -0.411 eV/atom
crystal system: monoclinic
space group: C2/m (12)

CIF file:
```
data_PmAl3Cu2
_chemical_formula_sum 'Pm3 Al9 Cu6'
_symmetry_space_group_name_H-M 'P 1'
_symmetry_Int_Tables_number 1
_symmetry_space_group_name_Hall 'P 1'
_cell_length_a 4.0965
_cell_length_b 8.4165
_cell_length_c 9.9051
_cell_angle_alpha 105.57
_cell_angle_beta 90.00
_cell_angle_gamma 104.08
loop_
_atom_site_label
_atom_site_fract_x
_atom_site_fract_y
_atom_site_fract_z
Al1 0.9536 0.9071 0.6513
Al2 0.0464 0.0929 0.3487
Al3 0.7843 0.5686 0.6131
Al4 0.3715 0.7430 0.7989
Al5 0.2157 0.4314 0.3869
Al6 0.3308 0.6616 0.0374
Al7 0.6692 0.3384 0.9626
Al8 0.6285 0.2570 0.2011
Al9 0.5000 0.0000 0.5000
Pm1 0.1561 0.3123 0.7012
Pm2 0.0000 0.0000 0.0000
Pm3 0.8439 0.6877 0.2988
Cu1 0.6415 0.2829 0.4542
Cu2 0.4762 0.9523 0.2263
Cu3 0.5238 0.0477 0.7737
Cu4 0.2001 0.4002 0.1233
Cu5 0.7999 0.5998 0.8767
Cu6 0.3585 0.7171 0.5458
```

=====

# 7
This record from Alexandria via LeMat-Bulk describes crystalline TiAg8S6 at its relaxed geometry. The functional is PBE.

Computed properties:
ρ: 5928 kg/m³
crystal system: orthorhombic
space group: Pna2_1 (33)
energy relative to the elements, uncorrected: -0.27 eV/atom

CIF file:
```
data_TiAg8S6
_chemical_formula_sum 'Ti4 Ag32 S24'
_symmetry_space_group_name_H-M 'P 1'
_symmetry_Int_Tables_number 1
_symmetry_space_group_name_Hall 'P 1'
_cell_length_a 7.5783
_cell_length_b 10.6583
_cell_length_c 15.3040
_cell_angle_alpha 90.00
_cell_angle_beta 90.00
_cell_angle_gamma 90.00
loop_
_atom_site_label
_atom_site_fract_x
_atom_site_fract_y
_atom_site_fract_z
S1 0.2431 0.1483 0.7542
S2 0.2613 0.7538 0.6192
S3 0.2844 0.1409 0.4960
S4 0.7844 0.6409 0.0040
S5 0.9876 0.9052 0.8789
S6 0.7613 0.2538 0.8808
S7 0.2156 0.1409 0.9960
S8 0.7981 0.0037 0.6260
S9 0.7156 0.6409 0.5040
S10 0.9864 0.3874 0.6245
S11 0.5136 0.3874 0.1245
S12 0.2981 0.5037 0.8740
S13 0.5124 0.9052 0.3789
S14 0.7387 0.2538 0.3808
S15 0.7569 0.6483 0.2458
S16 0.7019 0.0037 0.1260
S17 0.2569 0.1483 0.2542
S18 0.2387 0.7538 0.1192
S19 0.0124 0.4052 0.1211
S20 0.0136 0.8874 0.3755
S21 0.2019 0.5037 0.3740
S22 0.7431 0.6483 0.7458
S23 0.4864 0.8874 0.8755
S24 0.4876 0.4052 0.6211
Ti1 0.7438 0.5176 0.6261
Ti2 0.7562 0.5176 0.1261
Ti3 0.2438 0.0176 0.8739
Ti4 0.2562 0.0176 0.3739
Ag1 0.7633 0.4924 0.3741
Ag2 0.7264 0.0194 0.9558
Ag3 0.5684 0.8397 0.5899
Ag4 0.1078 0.6955 0.2715
Ag5 0.6138 0.1940 0.5868
Ag6 0.0684 0.3397 0.9101
Ag7 0.5164 0.3054 0.7706
Ag8 0.4316 0.3397 0.4101
Ag9 0.2264 0.5194 0.5442
Ag10 0.5026 0.2477 0.9815
Ag11 0.1138 0.6940 0.9132
Ag12 0.0026 0.7477 0.5185
Ag13 0.4836 0.8054 0.2294
Ag14 0.5543 0.0200 0.7402
Ag15 0.0543 0.5200 0.7598
Ag16 0.3862 0.6940 0.4132
Ag17 0.2367 0.9924 0.6259
Ag18 0.7736 0.0194 0.4558
Ag19 0.2633 0.9924 0.1259
Ag20 0.8922 0.1955 0.7285
Ag21 0.9836 0.3054 0.2706
Ag22 0.4457 0.5200 0.2598
Ag23 0.9316 0.8397 0.0899
Ag24 0.6078 0.1955 0.2285
Ag25 0.9974 0.2477 0.4815
Ag26 0.0164 0.8054 0.7294
Ag27 0.2736 0.5194 0.0442
Ag28 0.7367 0.4924 0.8741
Ag29 0.3922 0.6955 0.7715
Ag30 0.4974 0.7477 0.0185
Ag31 0.8862 0.1940 0.0868
Ag32 0.9457 0.0200 0.2402
```

=====

# 8
This record from Alexandria via LeMat-Bulk describes crystalline Cd3H4Pd4 at its relaxed geometry. The functional is PBE.

Computed properties:
raw total energy: -3.38 eV/atom
ρ: 8250 kg/m³
crystal system: orthorhombic
space group: Immm (71)

CIF file:
```
data_Cd3H4Pd4
_chemical_formula_sum 'Cd3 H4 Pd4'
_symmetry_space_group_name_H-M 'P 1'
_symmetry_Int_Tables_number 1
_symmetry_space_group_name_Hall 'P 1'
_cell_length_a 2.8588
_cell_length_b 7.4694
_cell_length_c 8.2611
_cell_angle_alpha 116.88
_cell_angle_beta 99.96
_cell_angle_gamma 90.00
loop_
_atom_site_label
_atom_site_fract_x
_atom_site_fract_y
_atom_site_fract_z
Cd1 0.0000 0.5000 0.0000
Cd2 0.8606 0.8606 0.7212
Cd3 0.1394 0.1394 0.2788
H1 0.3126 0.1699 0.6252
H2 0.3126 0.4553 0.6252
H3 0.6874 0.8301 0.3748
H4 0.6874 0.5447 0.3748
Pd1 0.8099 0.3099 0.6198
Pd2 0.1901 0.6901 0.3802
Pd3 0.5000 0.1865 0.0000
Pd4 0.5000 0.8135 0.0000
```

=====

# 9
This record from Alexandria via LeMat-Bulk describes crystalline ErTaGa6 at its relaxed geometry. The functional is PBE.

Computed properties:
ρ: 7029 kg/m³
formation enthalpy at 0 K: 0.045 eV/atom
crystal system: monoclinic
space group: C2/m (12)

CIF file:
```
data_ErTaGa6
_chemical_formula_sum 'Er1 Ta1 Ga6'
_symmetry_space_group_name_H-M 'P 1'
_symmetry_Int_Tables_number 1
_symmetry_space_group_name_Hall 'P 1'
_cell_length_a 5.6544
_cell_length_b 5.6544
_cell_length_c 8.0256
_cell_angle_alpha 62.23
_cell_angle_beta 62.23
_cell_angle_gamma 96.99
loop_
_atom_site_label
_atom_site_fract_x
_atom_site_fract_y
_atom_site_fract_z
Ga1 0.8182 0.2797 0.7364
Ga2 0.6423 0.6423 0.0212
Ga3 0.1818 0.7203 0.2636
Ga4 0.3577 0.3577 0.9788
Ga5 0.2797 0.8182 0.7364
Ga6 0.7203 0.1818 0.2636
Er1 0.5000 0.5000 0.5000
Ta1 0.0000 0.0000 0.0000
```

=====

# 10
This record from Alexandria via LeMat-Bulk describes crystalline KTeWN2 at its relaxed geometry. The functional is PBE.

Computed properties:
ρ: 6635 kg/m³
crystal system: tetragonal
space group: P4/mmm (123)
energy relative to the elements, uncorrected: 0.34 eV/atom

CIF file:
```
data_KTeWN2
_chemical_formula_sum 'K1 Te1 W1 N2'
_symmetry_space_group_name_H-M 'P 1'
_symmetry_Int_Tables_number 1
_symmetry_space_group_name_Hall 'P 1'
_cell_length_a 4.1319
_cell_length_b 4.1319
_cell_length_c 5.5491
_cell_angle_alpha 90.00
_cell_angle_beta 90.00
_cell_angle_gamma 90.00
loop_
_atom_site_label
_atom_site_fract_x
_atom_site_fract_y
_atom_site_fract_z
N1 0.0000 0.5000 0.0000
N2 0.5000 0.0000 0.0000
K1 0.5000 0.5000 0.5000
Te1 0.0000 0.0000 0.5000
W1 0.0000 0.0000 0.0000
```